1.
{"formula": "LiBeCrIr", "functional": "PBE", "state": "optimized geometry", "volume_a3_per_cell": 45.80, "final_energy_ev_per_atom": -6.227, "e_form_ev_per_atom": -0.20, "cell": [[4.0161, 0.0000, 0.0000], [2.0080, 3.4780, 0.0000], [2.0080, 1.1593, 3.2791]], "species": ["Cr", "Ir", "Li", "Be"], "fractional_positions": [[0.7500, 0.7500, 0.7500], [0.5000, 0.5000, 0.5000], [0.0000, 0.0000, 0.0000], [0.2500, 0.2500, 0.2500]]}

---

2.
{"formula": "Cu2SeBr", "functional": "PBE", "state": "optimized geometry", "raw_formation_energy_mev_per_atom": 261, "volume_a3_per_cell": 74.31, "e_above_lowest_polymorph_mev_per_atom": 458, "final_energy_ev_per_atom": -3.076, "cell": [[3.3218, 0.0000, 0.0000], [0.0000, 3.3183, 0.0000], [0.0000, 0.0000, 6.7413]], "species": ["Br", "Cu", "Cu", "Se"], "fractional_positions": [[0.5000, 0.5000, 0.7500], [0.0000, 0.0000, 0.0574], [0.0000, 0.0000, 0.4426], [0.5000, 0.5000, 0.2500]]}

---

3.
{"formula": "GdFeRu", "functional": "PBE", "state": "optimized geometry", "volume_a3_per_cell": 58.95, "final_energy_ev_per_atom": -10.627, "e_form_ev_per_atom": -0.02, "cell": [[4.2166, 0.0000, 0.0000], [0.0000, 4.0177, 0.0000], [0.0000, -2.0089, 3.4795]], "species": ["Ru", "Gd", "Fe"], "fractional_positions": [[0.1666, 0.3333, 0.6667], [0.6666, 0.6667, 0.3333], [0.1667, 0.0000, 0.0000]]}

---

4.
{"formula": "La2YScHg", "functional": "PBE", "state": "optimized geometry", "volume_a3_per_cell": 182.00, "final_energy_ev_per_atom": -3.921, "e_form_ev_per_atom": 0.67, "cell": [[5.8612, 0.0000, 0.0000], [0.0000, 5.2977, 0.0000], [0.0000, 0.0000, 5.8612]], "species": ["Y", "Sc", "Hg", "La", "La"], "fractional_positions": [[0.0000, 0.0000, 0.0000], [0.0000, 0.5000, 0.0000], [0.5000, 0.5000, 0.5000], [0.0000, 0.0000, 0.5000], [0.5000, 0.0000, 0.0000]]}

---

5.
{"formula": "Pu2MnCu", "functional": "PBE", "state": "optimized geometry", "volume_a3_per_cell": 77.09, "final_energy_ev_per_atom": -10.372, "e_form_ev_per_atom": 0.11, "cell": [[-2.5926, -3.0519, 0.2427], [1.2498, -0.7327, 4.1373], [-3.1030, 2.7492, 1.4243]], "species": ["Mn", "Cu", "Pu", "Pu"], "fractional_positions": [[0.5000, 0.5000, 0.5000], [0.5000, 0.0000, 0.0000], [0.0000, 0.0000, 0.5000], [0.0000, 0.5000, 0.0000]]}

---

6.
{"formula": "Rb2BeSe2", "functional": "PBE", "state": "optimized geometry", "raw_formation_energy_mev_per_atom": 181, "volume_a3_per_cell": 174.05, "e_above_lowest_polymorph_mev_per_atom": 1210, "final_energy_ev_per_atom": -2.345, "cell": [[-0.5855, -3.5507, -1.8993], [4.0162, -0.6536, -0.0162], [0.9637, -6.9510, 8.3390]], "species": ["Be", "Se", "Se", "Rb", "Rb"], "fractional_positions": [[0.0000, 0.0000, 0.0000], [0.7500, 0.2500, 0.5000], [0.2500, 0.7500, 0.5000], [0.3828, 0.3828, 0.2345], [0.6172, 0.6172, 0.7655]]}

---

7.
{"formula": "AlSbAsI2", "functional": "PBE", "state": "optimized geometry", "raw_formation_energy_mev_per_atom": 472, "volume_a3_per_cell": 180.74, "e_above_lowest_polymorph_mev_per_atom": 0, "final_energy_ev_per_atom": -2.651, "cell": [[5.7597, 0.0000, 0.0000], [0.0000, 5.7597, 0.0000], [0.0000, 0.0000, 5.4484]], "species": ["I", "I", "Sb", "As", "Al"], "fractional_positions": [[0.0000, 0.5000, 0.0000], [0.5000, 0.0000, 0.0000], [0.0000, 0.0000, 0.5000], [0.0000, 0.0000, 0.0000], [0.5000, 0.5000, 0.5000]]}

---

8.
{"formula": "Ac8CoPt3Br3", "functional": "PBE", "state": "optimized geometry", "raw_formation_energy_mev_per_atom": -1064, "volume_a3_per_cell": 550.18, "final_energy_ev_per_atom": -5.272, "cell": [[8.8527, 0.0000, 0.0000], [-4.4264, 7.6518, -0.0386], [0.0000, -5.0788, 8.1475]], "species": ["Ac", "Ac", "Ac", "Ac", "Ac", "Ac", "Ac", "Ac", "Co", "Pt", "Pt", "Pt", "Br", "Br", "Br"], "fractional_positions": [[0.2673, 0.5347, 0.3011], [0.7327, 0.4653, 0.6989], [0.7748, 0.5496, 0.3067], [0.2252, 0.4504, 0.6933], [0.7748, 0.0324, 0.3067], [0.2252, 0.9676, 0.6933], [0.2576, 0.0324, 0.3067], [0.7424, 0.9676, 0.6933], [0.0000, 0.0000, 0.5000], [0.5000, 0.0000, 0.5000], [0.5000, 0.5000, 0.5000], [0.0000, 0.5000, 0.5000], [0.0000, 0.0000, 0.0000], [0.0000, 0.5000, 0.0000], [0.5000, 0.5000, 0.0000]]}

---

9.
{"formula": "K2RbPrI6", "functional": "PBE", "state": "optimized geometry", "raw_formation_energy_mev_per_atom": -1462, "volume_a3_per_cell": 526.74, "e_above_lowest_polymorph_mev_per_atom": 0, "final_energy_ev_per_atom": -3.186, "cell": [[-6.3100, -4.9266, 3.7504], [1.1326, -3.1532, 8.1804], [-4.9994, 3.7306, 6.9068]], "species": ["K", "K", "Rb", "Pr", "I", "I", "I", "I", "I", "I"], "fractional_positions": [[0.5242, 0.5242, 0.4273], [0.0133, 0.0132, 0.9602], [0.8142, 0.8142, 0.5573], [0.3244, 0.3245, 0.0266], [0.5691, 0.2214, 0.2432], [0.2213, 0.9663, 0.2433], [0.9663, 0.5691, 0.2433], [0.4067, 0.6912, 0.7714], [0.6912, 0.1308, 0.7714], [0.1308, 0.4067, 0.7713]]}

---

10.
{"formula": "PuZnGa", "functional": "PBE", "state": "optimized geometry", "volume_a3_per_cell": 100.53, "final_energy_ev_per_atom": -6.056, "e_form_ev_per_atom": 0.16, "cell": [[-1.1206, 1.3720, -2.0658], [0.2170, -2.2040, -1.5814], [-11.8717, -3.6542, 5.8054]], "species": ["Pu", "Pu", "Zn", "Zn", "Ga", "Ga"], "fractional_positions": [[0.5430, 0.5430, 0.0859], [0.4570, 0.4570, 0.9141], [0.2872, 0.2872, 0.5744], [0.7128, 0.7128, 0.4256], [0.1332, 0.1332, 0.2664], [0.8668, 0.8668, 0.7336]]}

---

11.
{"formula": "LaMn3Ag", "functional": "PBE", "state": "optimized geometry", "volume_a3_per_cell": 122.09, "e_above_lowest_polymorph_mev_per_atom": 0, "final_energy_ev_per_atom": -6.287, "e_form_ev_per_atom": 0.77, "cell": [[-4.2894, -1.7892, 1.7350], [0.3005, -3.7997, -3.1753], [2.4741, -2.6404, 3.3938]], "species": ["Mn", "Mn", "Mn", "Ag", "La"], "fractional_positions": [[0.0000, 0.5000, 0.0000], [0.0000, 0.0000, 0.5000], [0.5000, 0.0000, 0.0000], [0.0000, 0.0000, 0.0000], [0.5000, 0.5000, 0.5000]]}

---

12.
{"formula": "NaPH6O6", "functional": "PBE", "state": "optimized geometry", "volume_a3_per_cell": 557.23, "final_energy_ev_per_atom": -5.528, "cell": [[-6.5642, -0.8285, -1.4272], [-1.2761, -1.8897, 6.9661], [-1.9173, 10.7647, 2.5689]], "species": ["Na", "Na", "Na", "Na", "P", "P", "P", "P", "H", "H", "H", "H", "H", "H", "H", "H", "H", "H", "H", "H", "H", "H", "H", "H", "H", "H", "H", "H", "H", "H", "H", "H", "O", "O", "O", "O", "O", "O", "O", "O", "O", "O", "O", "O", "O", "O", "O", "O", "O", "O", "O", "O", "O", "O", "O", "O"], "fractional_positions": [[0.7172, 0.6119, 0.9235], [0.2172, 0.8881, 0.0765], [0.2828, 0.1119, 0.5765], [0.7828, 0.3881, 0.4235], [0.5414, 0.2799, 0.1513], [0.0414, 0.2201, 0.8487], [0.4586, 0.7799, 0.3487], [0.9586, 0.7201, 0.6513], [0.5146, 0.5904, 0.1557], [0.0146, 0.9096, 0.8443], [0.4854, 0.0904, 0.3443], [0.9854, 0.4096, 0.6557], [0.2731, 0.2688, 0.0343], [0.7731, 0.2312, 0.9657], [0.7269, 0.7688, 0.4657], [0.2269, 0.7312, 0.5343], [0.8530, 0.0349, 0.1748], [0.3530, 0.4651, 0.8252], [0.1470, 0.5349, 0.3252], [0.6470, 0.9651, 0.6748], [0.8709, 0.8588, 0.2523], [0.3709, 0.6412, 0.7477], [0.1291, 0.3588, 0.2477], [0.6291, 0.1412, 0.7523], [0.5877, 0.9726, 0.0005], [0.0877, 0.5274, 0.9995], [0.4123, 0.4726, 0.4995], [0.9123, 0.0274, 0.5005], [0.5152, 0.9310, 0.8709], [0.0152, 0.5690, 0.1291], [0.4848, 0.4310, 0.6291], [0.9848, 0.0690, 0.3709], [0.5582, 0.2609, 0.2853], [0.0582, 0.2391, 0.7147], [0.4418, 0.7609, 0.2147], [0.9418, 0.7391, 0.7853], [0.6893, 0.1625, 0.0810], [0.1893, 0.3375, 0.9190], [0.3107, 0.6625, 0.4190], [0.8107, 0.8375, 0.5810], [0.5722, 0.4822, 0.1062], [0.0722, 0.0178, 0.8938], [0.4278, 0.9822, 0.3938], [0.9278, 0.5178, 0.6062], [0.3202, 0.2227, 0.1172], [0.8202, 0.2773, 0.8828], [0.6798, 0.7227, 0.3828], [0.1798, 0.7773, 0.6172], [0.9487, 0.9616, 0.2222], [0.4487, 0.5384, 0.7778], [0.0513, 0.4616, 0.2778], [0.5513, 0.0384, 0.7222], [0.5208, 0.8782, 0.9520], [0.0208, 0.6218, 0.0480], [0.4792, 0.3782, 0.5480], [0.9792, 0.1218, 0.4520]]}